[1]
VASP calculation (SCAN) on a crystal of Sc2MnCd relaxed with PBEsol.

Lattice parameters (Å, degrees): 3.165 3.165 7.280 90.00 90.00 90.00
Fractional positions:
Sc  0.000  0.000  0.208
Sc  0.000  0.000  0.792
Mn  0.500  0.500  0.000
Cd  0.500  0.500  0.500

The formation energy comes out at -0.8 eV per formula unit. Its space-group type is P4/mmm, No. 123. The calculation puts the total energy at -1.432 Ry per atom.

=====

[2]
VASP calculation (SCAN) on a crystal of FeHgRu2 relaxed with PBEsol.

Lattice parameters (Å, degrees): 4.724 4.724 4.732 102.31 102.31 33.88
Fractional positions:
Fe  0.000  0.000  0.000
Hg  0.500  0.500  0.500
Ru  0.269  0.269  0.784
Ru  0.731  0.731  0.216

The formation energy comes out at 1.5 eV per formula unit. Its space-group type is C2/m, No. 12. The calculation puts the total energy at -2.838 Ry per atom.

=====

[3]
VASP calculation (SCAN) on a crystal of ZrTaCu2P relaxed with PBEsol.

Lattice parameters (Å, degrees): 4.212 4.212 4.814 90.00 90.00 90.00
Fractional positions:
Zr  0.000  0.000  0.000
Ta  0.500  0.500  0.000
Cu  0.000  0.500  0.500
Cu  0.500  0.000  0.500
P  0.000  0.000  0.500

The formation energy comes out at 2.1 eV per formula unit. Its space-group type is P4/mmm, No. 123. The calculation puts the total energy at -1.998 Ry per atom.

=====

[4]
VASP calculation (SCAN) on a crystal of Nb6PbS8 relaxed with PBEsol.

Lattice parameters (Å, degrees): 9.528 9.528 3.368 90.00 90.00 120.00
Fractional positions:
Nb  0.114  0.487  0.252
Nb  0.373  0.886  0.252
Nb  0.487  0.373  0.748
Nb  0.513  0.627  0.252
Nb  0.627  0.114  0.748
Nb  0.886  0.513  0.748
Pb  0.000  0.000  0.500
S  0.056  0.716  0.247
S  0.284  0.340  0.247
S  0.333  0.667  0.751
S  0.340  0.056  0.753
S  0.660  0.944  0.247
S  0.667  0.333  0.249
S  0.716  0.660  0.753
S  0.944  0.284  0.753

Its space-group type is P-3, No. 147. The calculation puts the total energy at -1.806 Ry per atom. The formation energy from raw total energies comes out at -1.135 eV per atom.

=====

[5]
VASP calculation (SCAN) on a crystal of NbAs3Au relaxed with PBEsol.

Lattice parameters (Å, degrees): 4.862 4.862 4.862 90.00 90.00 90.00
Fractional positions:
Nb  0.000  0.000  0.000
As  0.000  0.500  0.500
As  0.500  0.000  0.500
As  0.500  0.500  0.000
Au  0.500  0.500  0.500

The formation energy comes out at 5.1 eV per formula unit. Its space-group type is Pm-3m, No. 221. The calculation puts the total energy at -2.319 Ry per atom.

=====

[6]
VASP calculation (SCAN) on a crystal of KInOs2 relaxed with PBEsol.

Lattice parameters (Å, degrees): 2.770 3.781 8.294 90.00 90.00 90.00
Fractional positions:
K  0.000  0.000  0.000
In  0.500  0.500  0.662
Os  0.000  0.000  0.434
Os  0.500  0.500  0.315

The formation energy comes out at 1.7 eV per formula unit. Its space-group type is Pmm2, No. 25. The calculation puts the total energy at -3.376 Ry per atom.